Computed, not measured: Li2AlPb at its PBEsol-relaxed geometry at the meta-GGA SCAN level of DFT.

Cell: 4.266 4.266 5.173 Å, 114.35 114.35 90.00°
Positions (direct):
Li: 0.000 0.000 0.000
Li: 0.250 0.750 0.500
Pb: 0.500 0.500 0.000
Al: 0.750 0.250 0.500

Calculated values
The calculation puts the density of states at the Fermi level at 0.35 states/eV per atom. For the size of the total moment, the calculation gives 0.000 μB per formula unit. As for the space group: I-4m2 (119). The value obtained for the formation energy from the elements is -4.86 kcal/mol of atoms.


Computed, not measured: Li2MgCr3S6O24 at its PBEsol-relaxed geometry at the meta-GGA SCAN level of DFT.

Cell: 8.216 8.241 8.844 Å, 117.25 89.97 119.66°
Positions (direct):
O: 0.042 0.032 0.690
O: 0.983 0.321 0.613
O: 0.293 0.268 0.603
O: 0.362 0.986 0.235
O: 0.498 0.195 0.092
O: 0.282 0.406 0.911
O: 0.347 0.628 0.601
O: 0.725 0.769 0.409
O: 0.112 0.634 0.918
O: 0.711 0.601 0.094
O: 0.669 0.700 0.696
O: 0.633 0.359 0.409
O: 0.019 0.350 0.307
O: 0.622 0.866 0.231
O: 0.386 0.156 0.771
O: 0.765 0.390 0.763
O: 0.017 0.672 0.379
O: 0.510 0.804 0.914
O: 0.987 0.649 0.684
O: 0.901 0.368 0.073
O: 0.632 0.996 0.759
O: 0.960 0.981 0.300
O: 0.316 0.276 0.290
O: 0.246 0.615 0.235
S: 0.451 0.201 0.252
S: 0.966 0.506 0.748
S: 0.754 0.801 0.252
S: 0.537 0.781 0.743
S: 0.045 0.499 0.246
S: 0.250 0.215 0.748
Cr: 0.848 0.687 0.531
Cr: 0.356 0.715 0.070
Cr: 0.154 0.306 0.451
Li: 0.572 0.385 0.630
Li: 0.821 0.059 0.630
Mg: 0.649 0.291 0.942

Calculated values
The calculation puts the density of states at the Fermi level at 0.16 states/eV per atom. For the size of the total moment, the calculation gives 10.000 μB per formula unit. As for the space group: P1 (1). Its total energy is -342.0 eV/f.u.


Computed, not measured: AlTcIr2 at its PBEsol-relaxed geometry at the meta-GGA SCAN level of DFT.

Cell: 2.740 2.740 8.683 Å, 80.92 80.92 60.00°
Positions (direct):
Tc: 0.500 0.500 0.500
Ir: 0.252 0.252 0.244
Ir: 0.748 0.748 0.756
Al: 0.000 0.000 0.000

Calculated values
The calculation puts the density of states at the Fermi level at 0.70 states/eV per atom. For the size of the total moment, the calculation gives 0.000 μB per formula unit. As for the space group: R-3m (166). The value obtained for the formation energy from the elements is -10.34 kcal/mol of atoms.


Computed, not measured: BeSbAs2 at its PBEsol-relaxed geometry at the meta-GGA SCAN level of DFT.

Cell: 3.918 3.969 5.745 Å, 90.00 96.73 90.00°
Positions (direct):
As: 0.661 0.500 0.431
As: 0.060 0.000 0.056
Sb: 0.190 0.500 0.761
Be: 0.589 0.000 0.252

Calculated values
Its polymorph energy (0 for the lowest one) is 0.000 eV per atom. The calculation puts the density of states at the Fermi level at 0.31 states/eV per atom. For the size of the total moment, the calculation gives 0.000 μB per formula unit. As for the space group: Pm (6).


Computed, not measured: Y2Zr at its PBEsol-relaxed geometry at the meta-GGA SCAN level of DFT.

Cell: 3.413 5.411 9.056 Å, 90.00 100.86 90.00°
Positions (direct):
Y: 0.446 0.750 0.891
Y: 0.224 0.250 0.448
Y: 0.776 0.750 0.552
Y: 0.554 0.250 0.109
Zr: 0.888 0.250 0.775
Zr: 0.112 0.750 0.225

Calculated values
Its polymorph energy (0 for the lowest one) is 0.017 eV per atom. The calculation puts the density of states at the Fermi level at 1.70 states/eV per atom. For the size of the total moment, the calculation gives 0.002 μB per formula unit. As for the space group: Cmcm (63). The value obtained for the formation energy from the elements is 2.81 kcal/mol of atoms.


Computed, not measured: ZrSbP2S at its PBEsol-relaxed geometry at the meta-GGA SCAN level of DFT.

Cell: 4.822 4.856 4.856 Å, 90.00 90.00 90.00°
Positions (direct):
S: 0.500 0.000 0.000
P: 0.000 0.000 0.500
P: 0.000 0.500 0.000
Zr: 0.500 0.500 0.500
Sb: 0.000 0.000 0.000

Calculated values
The calculation puts the density of states at the Fermi level at 0.47 states/eV per atom. For the size of the total moment, the calculation gives 0.009 μB per formula unit. As for the space group: P4/mmm (123). Its total energy is -94.8 eV/f.u.